Below is a relaxed structure of Tb2Dy8Sc, with properties calculated at the PBE-GGA level.

Unit cell a=17.950 b=4.976 c=7.880 alpha=90.00 beta=105.32 gamma=90.00
Space group C2/m (No. 12)
One atom of each set of equivalent atoms:
1 Tb 0.226 0.000 0.136 [4 per cell]
2 Dy 0.045 0.000 0.230 [4 per cell]
3 Dy 0.090 0.500 0.950 [4 per cell]
4 Dy 0.134 0.000 0.678 [4 per cell]
5 Dy 0.181 0.500 0.410 [4 per cell]
6 Sc 0.000 0.500 0.500 [2 per cell]

Properties
calculated total energy = -104.22 eV per cell
DFT formation energy = 0.62 kcal/mol of atoms

Below is a relaxed structure of Li2MnSiRu, with properties calculated at the PBE-GGA level.

Unit cell a=4.319 b=4.319 c=4.424 alpha=90.00 beta=90.00 gamma=90.00
Space group P4/mmm (No. 123)
One atom of each set of equivalent atoms:
1 Li 0.000 0.500 0.000 [2 per cell]
2 Mn 0.000 0.000 0.500 [1 per cell]
3 Si 0.500 0.500 0.000 [1 per cell]
4 Ru 0.500 0.500 0.500 [1 per cell]

Properties
formation energy from raw total energies = 452.6 kJ/mol of formula units
calculated total energy = -23.01 eV per cell

Below is a relaxed structure of Nd4Ho, with properties calculated at the PBE-GGA level.

Unit cell a=3.655 b=3.655 c=25.786 alpha=90.00 beta=90.00 gamma=90.00
Space group I4/mmm (No. 139)
One atom of each set of equivalent atoms:
1 Nd 0.000 0.000 0.098 [4 per cell]
2 Nd 0.000 0.000 0.301 [4 per cell]
3 Ho 0.000 0.000 0.500 [2 per cell]

Properties
calculated total energy = -47.12 eV per cell
DFT formation energy = 0.41 kcal/mol of atoms
E above lowest polymorph = 3 kJ/mol of formula units

Below is a relaxed structure of TlBi6, with properties calculated at the PBE-GGA level.

Unit cell a=8.856 b=8.856 c=8.856 alpha=90.00 beta=90.00 gamma=90.00
Space group Im-3m (No. 229)
One atom of each set of equivalent atoms:
1 Tl 0.000 0.000 0.000 [2 per cell]
2 Bi 0.000 0.250 0.500 [12 per cell]

Properties
calculated total energy = -47.23 eV per cell
DFT formation energy = 6.72 kcal/mol of atoms

Below is a relaxed structure of KLiP3, with properties calculated at the PBE-GGA level.

Unit cell a=4.626 b=4.626 c=4.626 alpha=90.00 beta=90.00 gamma=90.00
Space group Pm-3m (No. 221)
One atom of each set of equivalent atoms:
1 K 0.000 0.000 0.000 [1 per cell]
2 Li 0.500 0.500 0.500 [1 per cell]
3 P 0.000 0.500 0.500 [3 per cell]

Properties
calculated total energy = -16.82 eV per cell
DFT formation energy = 11.17 kcal/mol of atoms
E above lowest polymorph = 0 kJ/mol of formula units

Below is a relaxed structure of Pm6Sm3YTh2, with properties calculated at the PBE-GGA level.

Unit cell a=6.280 b=10.858 c=12.063 alpha=90.00 beta=99.99 gamma=90.00
Space group C2/m (No. 12)
One atom of each set of equivalent atoms:
1 Pm 0.245 0.000 0.246 [4 per cell]
2 Pm 0.249 0.169 0.754 [8 per cell]
3 Sm 0.000 0.000 0.500 [2 per cell]
4 Sm 0.000 0.333 0.500 [4 per cell]
5 Y 0.000 0.500 0.000 [2 per cell]
6 Th 0.000 0.167 0.000 [4 per cell]

Properties
calculated total energy = -127.15 eV per cell
DFT formation energy = 0.75 kcal/mol of atoms

Below is a relaxed structure of Pm2Pr4Ho2Tm, with properties calculated at the PBE-GGA level.

Unit cell a=15.463 b=5.153 c=8.093 alpha=90.00 beta=108.64 gamma=90.00
Space group C2/m (No. 12)
One atom of each set of equivalent atoms:
1 Pm 0.112 0.000 0.171 [4 per cell]
2 Pr 0.054 0.500 0.830 [4 per cell]
3 Pr 0.222 0.000 0.830 [4 per cell]
4 Ho 0.167 0.500 0.500 [4 per cell]
5 Tm 0.000 0.000 0.500 [2 per cell]

Properties
calculated total energy = -84.06 eV per cell
DFT formation energy = 0.55 kcal/mol of atoms

Below is a relaxed structure of La3PtI3, with properties calculated at the PBE-GGA level.

Unit cell a=12.751 b=12.751 c=12.751 alpha=90.00 beta=90.00 gamma=90.00
Space group I4_132 (No. 214)
One atom of each set of equivalent atoms:
1 La 0.106 0.356 0.125 [24 per cell]
2 Pt 0.125 0.125 0.125 [8 per cell]
3 I 0.116 0.134 0.625 [24 per cell]

Properties
formation energy from raw total energies = -893.5 kJ/mol of formula units
calculated total energy = -277.87 eV per cell

Below is a relaxed structure of LaTb3Nd, with properties calculated at the PBE-GGA level.

Unit cell a=6.584 b=6.826 c=8.263 alpha=74.37 beta=72.49 gamma=83.63
Space group P-1 (No. 2)
One atom of each set of equivalent atoms:
1 La 0.095 0.288 0.148 [2 per cell]
2 Tb 0.106 0.257 0.660 [2 per cell]
3 Tb 0.321 0.846 0.992 [2 per cell]
4 Tb 0.338 0.918 0.401 [2 per cell]
5 Nd 0.486 0.537 0.708 [2 per cell]

Properties
calculated total energy = -46.30 eV per cell
DFT formation energy = 2.01 kcal/mol of atoms
E above lowest polymorph = 0 kJ/mol of formula units

Below is a relaxed structure of NaMn2MoCl, with properties calculated at the PBE-GGA level.

Unit cell a=4.397 b=4.397 c=4.543 alpha=90.00 beta=90.00 gamma=90.00
Space group P4/mmm (No. 123)
One atom of each set of equivalent atoms:
1 Na 0.000 0.000 0.000 [1 per cell]
2 Mn 0.000 0.500 0.500 [2 per cell]
3 Mo 0.500 0.500 0.000 [1 per cell]
4 Cl 0.500 0.500 0.500 [1 per cell]

Properties
formation energy from raw total energies = 472.0 kJ/mol of formula units
calculated total energy = -27.44 eV per cell

Below is a relaxed structure of ZrHgSe2, with properties calculated at the PBE-GGA level.

Unit cell a=5.696 b=5.696 c=12.314 alpha=90.00 beta=90.00 gamma=90.00
Space group I4_1/amd (No. 141, origin choice 2)
One atom of each set of equivalent atoms:
1 Zr 0.000 0.250 0.375 [4 per cell]
2 Hg 0.000 0.250 0.875 [4 per cell]
3 Se 0.000 0.250 0.153 [8 per cell]

Properties
formation energy from raw total energies = -223.3 kJ/mol of formula units
calculated total energy = -72.53 eV per cell
E above lowest polymorph = 159 kJ/mol of formula units

Below is a relaxed structure of SrCaAl2Ru, with properties calculated at the PBE-GGA level.

Unit cell a=5.467 b=5.467 c=4.820 alpha=90.00 beta=90.00 gamma=90.00
Space group P4/mmm (No. 123)
One atom of each set of equivalent atoms:
1 Sr 0.000 0.000 0.000 [1 per cell]
2 Ca 0.500 0.500 0.500 [1 per cell]
3 Al 0.000 0.500 0.500 [2 per cell]
4 Ru 0.500 0.500 0.000 [1 per cell]

Properties
calculated total energy = -15.74 eV per cell
DFT formation energy = 21.68 kcal/mol of atoms
E above lowest polymorph = 541 kJ/mol of formula units